PmSn2Ge2Pt7: relaxed, GGA-PBE.

It has space group C2/m (No. 12), with a = 5.614 Å, b = 5.616 Å, c = 15.981 Å, α = 90.00°, β = 99.99° and γ = 90.00°. The distinct sites, in fractional coordinates, are Pm at (0.000, 0.000, 0.000), Sn at (0.213, 0.000, 0.426), Ge at (0.119, 0.500, 0.242), Pt at (0.000, 0.500, 0.000), Pt at (0.179, 0.250, 0.855) and Pt at (0.199, 0.500, 0.398).

As for the formation energy: -0.5689 eV per atom. The theoretical density comes out at 12.7 g/cm3. The value obtained for the density of states at the Fermi level is 3.2 states/eV/f.u.